Entry 1:
The following is a PBE calculation of HfFeAsOs after structural relaxation, from the Open Quantum Materials Database.

Summary:
Energy relative to the lowest polymorph listed for this composition, eV per formula unit: 0.83
SG: F-43m, No. 216

Lattice parameters (Å, degrees): 4.494 4.494 4.494 60.00 60.00 60.00
Atoms (fractional coordinates):
1 Hf 0.000 0.000 0.000
2 Fe 0.500 0.500 0.500
3 As 0.250 0.250 0.250
4 Os 0.750 0.750 0.750

Entry 2:
The following is a PBE calculation of MgAgTeO after structural relaxation, from the Open Quantum Materials Database.

Summary:
Energy relative to the lowest polymorph listed for this composition, eV per formula unit: 0.93
SG: Cmc2_1, No. 36

Lattice parameters (Å, degrees): 7.607 7.607 6.683 90.00 90.00 155.69
Atoms (fractional coordinates):
1 Mg 0.160 0.840 0.500
2 Mg 0.840 0.160 0.000
3 Ag 0.489 0.511 0.691
4 Ag 0.511 0.489 0.191
5 Te 0.162 0.838 0.949
6 Te 0.838 0.162 0.449
7 O 0.407 0.593 0.959
8 O 0.593 0.407 0.459